# 1
# CaIrPb2 GGA-PBE relaxed
data_CaIrPb2
_cell_length_a 6.341
_cell_length_b 10.507
_cell_length_c 3.408
_cell_angle_alpha 90.00
_cell_angle_beta 119.83
_cell_angle_gamma 90.00
_space_group_name_H-M_alt 'C 1 2/m 1'
_space_group_IT_number 12
_space_group_name_Hall '-C 2y'
loop_
_atom_site_label
_atom_site_type_symbol
_atom_site_fract_x
_atom_site_fract_y
_atom_site_fract_z
Ca1 Ca 0.000 0.000 0.000
Ir1 Ir 0.000 0.500 0.000
Pb1 Pb 0.250 0.250 0.500
# * calculated density: 10.90 g/cm3
# * ΔH_f (0 K): 191 meV per atom

=====

# 2
# HfWAu2 GGA-PBE relaxed
data_HfWAu2
_cell_length_a 6.638
_cell_length_b 6.638
_cell_length_c 6.638
_cell_angle_alpha 90.00
_cell_angle_beta 90.00
_cell_angle_gamma 90.00
_space_group_name_H-M_alt 'F m -3 m'
_space_group_IT_number 225
_space_group_name_Hall '-F 4 2 3'
loop_
_atom_site_label
_atom_site_type_symbol
_atom_site_fract_x
_atom_site_fract_y
_atom_site_fract_z
Hf1 Hf 0.000 0.000 0.000
W1 W 0.000 0.000 0.500
Au1 Au 0.250 0.250 0.250
# * calculated density: 17.18 g/cm3
# * ΔH_f (0 K): 212 meV per atom
# * energy relative to the lowest polymorph listed for this composition: 0 meV per atom

=====

# 3
# ZrTiBr3 GGA-PBE relaxed
data_ZrTiBr3
_cell_length_a 5.325
_cell_length_b 5.325
_cell_length_c 5.325
_cell_angle_alpha 90.00
_cell_angle_beta 90.00
_cell_angle_gamma 90.00
_space_group_name_H-M_alt 'P m -3 m'
_space_group_IT_number 221
_space_group_name_Hall '-P 4 2 3'
loop_
_atom_site_label
_atom_site_type_symbol
_atom_site_fract_x
_atom_site_fract_y
_atom_site_fract_z
Zr1 Zr 0.000 0.000 0.000
Ti1 Ti 0.500 0.500 0.500
Br1 Br 0.000 0.000 0.500
# * ΔE_f (raw): 126 meV/atom
# * calculated density: 4.17 g/cm3
# * energy relative to the lowest polymorph listed for this composition: 1153 meV per atom

=====

# 4
# Pm4Sn2I5 GGA-PBE relaxed
data_Pm4Sn2I5
_cell_length_a 3.867
_cell_length_b 7.838
_cell_length_c 29.187
_cell_angle_alpha 90.00
_cell_angle_beta 90.00
_cell_angle_gamma 90.00
_space_group_name_H-M_alt 'I m m m'
_space_group_IT_number 71
_space_group_name_Hall '-I 2 2'
loop_
_atom_site_label
_atom_site_type_symbol
_atom_site_fract_x
_atom_site_fract_y
_atom_site_fract_z
Pm1 Pm 0.000 0.000 0.114
Pm2 Pm 0.000 0.304 0.500
Sn1 Sn 0.000 0.000 0.404
I1 I 0.000 0.267 0.324
I2 I 0.000 0.500 0.000
# * ΔE_f (raw): -411 meV/atom
# * calculated density: 5.45 g/cm3